Entry 1:
The following is a PBE-GGA calculation of a relaxed structure of Rb2CoAuN4, from the Open Quantum Materials Database.

```
Rb2CoAuN4
1.0
6.167 0.000 0.000
0.000 2.319 5.919
0.000 -2.319 5.919
Au N Rb Co
1 4 2 1
direct
0.500 0.512 0.512
0.766 0.410 0.410
0.212 0.599 0.599
0.788 0.599 0.599
0.234 0.410 0.410
0.000 0.190 0.190
0.500 0.799 0.799
0.000 0.482 0.482
```

Summary:
The value obtained for the total energy is -39.258 eV per formula unit. The value obtained for the calculated volume is 21.16 Å³/atom. The calculation puts the total magnetization at 0.002 μB per atom. As for the crystal system: orthorhombic.

***

Entry 2:
The following is a PBE-GGA calculation of a relaxed structure of CoW4AuN2, from the Open Quantum Materials Database.

```
CoW4AuN2
1.0
2.817 0.000 0.000
-1.409 2.440 0.000
0.000 0.000 14.958
W N Au Co
4 2 1 1
direct
0.333 0.667 0.335
0.000 0.000 0.140
0.333 0.667 0.665
0.000 0.000 0.860
0.667 0.333 0.239
0.667 0.333 0.761
0.000 0.000 0.500
0.333 0.667 0.000
```

Summary:
The value obtained for the total energy is -77.361 eV per formula unit. The value obtained for the calculated volume is 12.85 Å³/atom. The calculation puts the total magnetization at 0.007 μB per atom. As for the crystal system: hexagonal.

***

Entry 3:
The following is a PBE-GGA calculation of a relaxed structure of Zr4CoAuN2, from the Open Quantum Materials Database.

```
Zr4CoAuN2
1.0
-1.374 -0.316 -2.951
3.181 -0.644 0.401
-2.973 -12.955 2.773
Zr N Co Au
4 2 1 1
direct
0.000 0.000 0.668
0.000 0.000 0.332
0.667 0.333 0.140
0.667 0.333 0.860
0.333 0.667 0.239
0.333 0.667 0.761
0.000 0.000 0.000
0.667 0.333 0.500
```

Summary:
The value obtained for the total energy is -68.496 eV per formula unit. The value obtained for the calculated volume is 15.72 Å³/atom. The calculation puts the total magnetization at 0.065 μB per atom. As for the crystal system: hexagonal.